Record 1
The following is a DFT calculation (PBE-GGA) of crystalline Rb3RuF8 at its relaxed geometry.

Results
The total energy is -4.44 eV per atom. As for the space-group type: I-42m, No. 121.

```
Rb3RuF8
1.0
-3.199 3.199 5.495
3.199 -3.199 5.495
3.199 3.199 -5.495
Rb Ru F
3 1 8
Cartesian
0.000 0.000 0.000 Rb
3.199 0.000 2.747 Rb
0.000 3.199 2.747 Rb
0.000 0.000 5.495 Ru
1.874 1.874 -0.879 F
0.974 -0.974 4.044 F
1.325 -1.325 6.374 F
2.225 2.225 1.451 F
-0.974 0.974 4.044 F
1.325 1.325 4.616 F
0.974 0.974 6.946 F
-1.325 1.325 6.374 F
```

=====

Record 2
The following is a DFT calculation (PBE-GGA) of crystalline Tm4RuPb2 at its relaxed geometry.

Results
The calculation puts the formation enthalpy at 0 K at -247 meV per atom. The polymorph energy (0 for the lowest one) comes out at 1.28 eV/f.u. As for the space-group type: I4/mmm, No. 139.

```
Tm4RuPb2
1.0
-2.541 2.541 8.095
2.541 -2.541 8.095
2.541 2.541 -8.095
Tm Ru Pb
4 1 2
Cartesian
2.541 0.000 0.000 Tm
0.000 0.000 2.754 Tm
0.000 2.541 0.000 Tm
0.000 0.000 13.436 Tm
0.000 0.000 0.000 Ru
0.000 0.000 5.839 Pb
0.000 0.000 10.351 Pb
```

=====

Record 3
The following is a DFT calculation (PBE-GGA) of crystalline ScC2 at its relaxed geometry.

Results
The calculation puts the formation enthalpy at 0 K at 5 meV per atom. As for the space-group type: P-62m, No. 189.

```
ScC2
1.0
6.529 0.000 0.000
-3.265 5.655 0.000
0.000 0.000 2.683
Sc C
3 6
Cartesian
0.000 0.000 0.000 Sc
0.000 3.770 1.341 Sc
3.265 1.885 1.341 Sc
-0.928 1.608 1.341 C
-1.254 2.172 0.000 C
1.856 0.000 1.341 C
2.508 0.000 0.000 C
2.010 3.482 0.000 C
2.336 4.047 1.341 C
```

=====

Record 4
The following is a DFT calculation (PBE-GGA) of crystalline RbIn4Hg at its relaxed geometry.

Results
The calculation puts the formation enthalpy at 0 K at -59 meV per atom. The polymorph energy (0 for the lowest one) comes out at 0.00 eV/f.u. As for the space-group type: Cmcm, No. 63.

```
RbIn4Hg
1.0
2.525 -9.127 0.000
2.525 9.127 0.000
0.000 0.000 7.873
Rb In Hg
2 8 2
Cartesian
2.525 6.782 5.905 Rb
2.525 -6.782 1.968 Rb
2.525 8.017 1.968 In
2.525 3.137 4.370 In
2.525 3.137 7.440 In
2.525 0.000 0.000 In
2.525 0.000 3.937 In
2.525 -3.137 0.433 In
2.525 -3.137 3.504 In
2.525 -8.017 5.905 In
2.525 4.986 1.968 Hg
2.525 -4.986 5.905 Hg
```

=====

Record 5
The following is a DFT calculation (PBE-GGA) of crystalline CaCeTm2Te4 at its relaxed geometry.

Results
The total energy is -5.01 eV per atom. As for the space-group type: P2/m, No. 10.

```
CaCeTm2Te4
1.0
7.596 0.000 0.000
0.000 4.368 0.000
-2.513 0.000 7.248
Ca Ce Tm Te
1 1 2 4
Cartesian
0.000 0.000 0.000 Ca
-1.256 2.184 3.624 Ce
2.542 0.000 3.624 Tm
3.798 2.184 0.000 Tm
1.356 2.184 1.816 Te
0.096 0.000 5.495 Te
4.987 0.000 1.753 Te
3.727 2.184 5.432 Te
```

=====

Record 6
The following is a DFT calculation (PBE-GGA) of crystalline NdTh2In at its relaxed geometry.

Results
The calculation puts the formation enthalpy at 0 K at -41 meV per atom. The polymorph energy (0 for the lowest one) comes out at 0.57 eV/f.u. As for the space-group type: P4/mmm, No. 123.

```
NdTh2In
1.0
3.503 0.000 0.000
0.000 3.503 0.000
0.000 0.000 10.230
Nd Th In
1 2 1
Cartesian
0.000 0.000 0.000 Nd
1.751 1.751 2.766 Th
1.751 1.751 7.464 Th
0.000 0.000 5.115 In
```